Arrangement A

First-principles (PBE-GGA) data for a relaxed BaCoRe crystal, as listed in the Alexandria database.

Cell: 4.2521 12.3857 5.0623 Å, 90.00 90.00 90.00°
With the nearest neighbours (Å) after each atom.
Space group Cmcm (No. 63)
Symmetry-distinct sites (fractional):
Ba1 0.0000 0.2040 0.2500  3 Co 3.02-3.25
Co1 0.0000 0.0396 0.7500  4 Re 2.52, 2 Co 2.71
Re1 0.0000 0.5000 0.0000  4 Co 2.52, 2 Re 2.53

Output
V: 266.6 Å³ per cell



Arrangement B

First-principles (PBE-GGA) data for a relaxed BaCoRe crystal, as listed in the Alexandria database.

Cell: 6.7449 6.7449 6.7449 Å, 90.00 90.00 90.00°
With the nearest neighbours (Å) after each atom.
Space group F-43m (No. 216)
Symmetry-distinct sites (fractional):
Ba1 0.0000 0.0000 0.0000  4 Co 2.92, 4 Re 2.92
Co1 0.2500 0.2500 0.2500  4 Ba 2.92
Re1 0.2500 0.2500 0.7500  4 Ba 2.92

Output
V: 306.8 Å³ per cell



Q: What are the energies relative to the best structure? A: arrangement A 0; arrangement B 2058, in meV per atom.



Arrangement A

First-principles (PBE-GGA) data for a relaxed BaCoRe crystal, as listed in the Alexandria database.

Cell: 4.3076 4.2099 9.0583 Å, 90.00 92.53 90.00°
With the nearest neighbours (Å) after each atom.
Space group Pm (No. 6)
Symmetry-distinct sites (fractional):
Ba1 0.0000 0.0000 0.0000  5 Re 3.30-3.61, 2 Co 3.50
Ba2 0.4836 0.5000 0.6111  5 Co 3.27-3.62, 2 Re 3.40
Co1 0.0393 0.5000 0.3089  2 Re 2.26-2.51, 2 Co 2.44
Co2 0.9042 0.0000 0.4269  2 Re 2.31-2.44, 2 Co 2.44
Re1 0.4098 0.0000 0.3167  2 Co 2.31-2.44, 2 Re 2.47
Re2 0.5602 0.5000 0.1957  2 Co 2.26-2.51, 2 Re 2.47

Output
V: 164.1 Å³ per cell



Arrangement B

First-principles (PBE-GGA) data for a relaxed BaCoRe crystal, as listed in the Alexandria database.

Cell: 4.1204 4.1206 11.0026 Å, 89.21 89.59 60.00°
With the nearest neighbours (Å) after each atom.
Space group P-1 (No. 2)
Symmetry-distinct sites (fractional):
Ba1 0.1670 0.1773 0.2023  3 Co 3.17
Co1 0.4999 0.4961 0.6070  1 Co 2.35, 3 Re 2.47
Re1 0.1667 0.1650 0.5469  3 Co 2.47, 3 Re 2.59

Output
V: 161.8 Å³ per cell



Q: What are the energies relative to the best structure? A: arrangement A 68; arrangement B 0, in meV per atom.